DFT (PBE+U) results for HfV3F after structural relaxation.

The structure in POSCAR format:
```
HfV3F
1.0
-0.463 -2.921 -4.020
-2.522 -3.341 2.718
-4.282 2.283 -1.166
V F Hf
3 1 1
Direct
0.000 0.500 0.000
0.000 0.000 0.500
0.500 0.000 0.000
0.500 0.500 0.500
0.000 0.000 0.000
```

## Properties
Total moment in μB/f.u.: 7.25
Energy above the lowest structure with this stoichiometry in meV/atom: 1550.2